[1]
# ErTh2WN5 | Alexandria via LeMat-Bulk | PBE | relaxed
# formation energy (no corrections): -1.049 eV/atom
# E: -9.27 eV/atom
data_ErTh2WN5
_cell_length_a 5.917
_cell_length_b 6.814
_cell_length_c 6.814
_cell_angle_alpha 90.00
_cell_angle_beta 90.00
_cell_angle_gamma 90.00
_space_group_name_H-M_alt 'P 1'
_space_group_IT_number 1
loop_
_space_group_symop_operation_xyz
'x,y,z'
loop_
_atom_site_label
_atom_site_fract_x
_atom_site_fract_y
_atom_site_fract_z
N1 0.234 0.644 0.856
N2 0.766 0.144 0.644
N3 0.766 0.644 0.856
N4 0.234 0.856 0.356
N5 0.500 0.500 0.500
N6 0.234 0.144 0.644
N7 0.766 0.356 0.144
N8 0.234 0.356 0.144
N9 0.500 0.000 0.000
N10 0.766 0.856 0.356
Th1 0.500 0.171 0.329
Th2 0.500 0.829 0.671
Th3 0.500 0.671 0.171
Th4 0.500 0.329 0.829
W1 0.000 0.000 0.500
W2 0.000 0.500 0.000
Er1 0.000 0.500 0.500
Er2 0.000 0.000 0.000


[2]
# Y2ErThN4 | Alexandria via LeMat-Bulk | PBE | relaxed
# formation energy (no corrections): -1.681 eV/atom
# E: -8.96 eV/atom
data_Y2ErThN4
_cell_length_a 3.527
_cell_length_b 6.087
_cell_length_c 6.088
_cell_angle_alpha 109.32
_cell_angle_beta 90.00
_cell_angle_gamma 90.00
_space_group_name_H-M_alt 'P 1'
_space_group_IT_number 1
loop_
_space_group_symop_operation_xyz
'x,y,z'
loop_
_atom_site_label
_atom_site_fract_x
_atom_site_fract_y
_atom_site_fract_z
N1 0.500 0.248 0.247
N2 0.000 0.753 0.250
N3 0.500 0.752 0.753
N4 0.000 0.247 0.750
Th1 0.500 0.500 0.000
Y1 0.500 0.000 0.500
Y2 0.000 0.500 0.500
Er1 0.000 0.000 0.000


Question: Which formula does entry 1 have?
Answer: ErTh2WN5